P) Compound: Sc2TeBr
Source: Alexandria via LeMat-Bulk
Functional: GGA-PBE
Structure: optimized geometry

Unit cell a=7.0878 b=7.0878 c=7.0878 alpha=90.00 beta=90.00 gamma=90.00
With the nearest neighbours (Å) after each atom.
Space group Fm-3m (No. 225)
Asymmetric unit:
Sc1 0.2500 0.2500 0.2500  4 Br 3.07, 4 Te 3.07
Te1 0.0000 0.0000 0.0000  8 Sc 3.07
Br1 0.0000 0.0000 0.5000  8 Sc 3.07

Q) Compound: Sc2TeBr
Source: Alexandria via LeMat-Bulk
Functional: GGA-PBE
Structure: optimized geometry

Unit cell a=3.5283 b=5.0186 c=11.0230 alpha=90.00 beta=90.00 gamma=90.00
With the nearest neighbours (Å) after each atom.
Space group Imm2 (No. 44)
Asymmetric unit:
Sc1 0.0000 0.0000 0.0000  2 Te 3.01, 4 Br 3.07
Sc2 0.0000 0.5000 0.2228  2 Br 2.92, 4 Te 3.07
Te1 0.0000 0.5000 0.7209  6 Sc 3.01-3.07
Br1 0.0000 0.0000 0.5117  6 Sc 2.92-3.07

Most stable structure - P); separation to the second - 155 meV per atom.

P) Compound: Sc2TeBr
Source: Alexandria via LeMat-Bulk
Functional: GGA-PBE
Structure: optimized geometry

Unit cell a=5.1680 b=3.6825 c=10.2321 alpha=90.00 beta=90.00 gamma=90.00
With the nearest neighbours (Å) after each atom.
Space group Amm2 (No. 38)
Asymmetric unit:
Sc1 0.0000 0.0000 0.0000  3 Br 2.87-2.91
Sc2 0.5000 0.0000 0.2770  2 Br 2.59, 1 Te 2.88
Te1 0.5000 0.0000 0.5581  3 Sc 2.88-2.90
Br1 0.0000 0.0000 0.2846  4 Sc 2.59-2.87

Q) Compound: Sc2TeBr
Source: Alexandria via LeMat-Bulk
Functional: GGA-PBE
Structure: optimized geometry

Unit cell a=3.7881 b=3.7881 c=6.8573 alpha=90.00 beta=90.00 gamma=90.00
With the nearest neighbours (Å) after each atom.
Space group P4mm (No. 99)
Asymmetric unit:
Sc1 0.0000 0.0000 0.0000  4 Br 2.85, 1 Te 2.99
Sc2 0.5000 0.5000 0.2723  1 Br 2.84, 4 Te 2.91
Te1 0.0000 0.0000 0.4365  5 Sc 2.91-2.99
Br1 0.5000 0.5000 0.8585  5 Sc 2.84-2.85

Most stable structure - Q); separation to the second - 169 meV per atom.

P) Compound: ScTeBr2
Source: Alexandria via LeMat-Bulk
Functional: GGA-PBE
Structure: optimized geometry

Unit cell a=7.3963 b=7.3963 c=7.3963 alpha=90.00 beta=90.00 gamma=90.00
With the nearest neighbours (Å) after each atom.
Space group F-43m (No. 216)
Asymmetric unit:
Sc1 0.0000 0.0000 0.0000  4 Br 3.20, 4 Te 3.20
Te1 0.2500 0.2500 0.7500  4 Br 3.20, 4 Sc 3.20
Br1 0.0000 0.0000 0.5000  4 Br 3.20, 4 Te 3.20
Br2 0.2500 0.2500 0.2500  4 Br 3.20, 4 Sc 3.20

Q) Compound: ScTeBr2
Source: Alexandria via LeMat-Bulk
Functional: GGA-PBE
Structure: optimized geometry

Unit cell a=3.6756 b=4.8906 c=5.6810 alpha=90.00 beta=90.00 gamma=90.00
With the nearest neighbours (Å) after each atom.
Space group Pmmm (No. 47)
Asymmetric unit:
Sc1 0.0000 0.0000 0.0000  4 Br 3.06, 4 Te 3.38
Te1 0.5000 0.0000 0.5000  4 Br 3.06, 4 Sc 3.38
Br1 0.0000 0.5000 0.5000  4 Te 3.06, 4 Br 3.38
Br2 0.5000 0.5000 0.0000  4 Sc 3.06, 4 Br 3.38

Most stable structure - P); separation to the second - 30 meV per atom.

P) Compound: ScTeBr2
Source: Alexandria via LeMat-Bulk
Functional: GGA-PBE
Structure: optimized geometry

Unit cell a=3.3971 b=5.3068 c=15.4159 alpha=90.00 beta=90.00 gamma=90.00
With the nearest neighbours (Å) after each atom.
Space group Imm2 (No. 44)
Asymmetric unit:
Sc1 0.0000 0.0000 0.0000  2 Br 2.65, 2 Te 2.95
Te1 0.0000 0.5000 0.6566  2 Sc 2.95
Br1 0.0000 0.0000 0.5114  4 Sc 3.16, 4 Br 3.40-3.45, 2 Te 3.47
Br2 0.0000 0.5000 0.3684  2 Sc 2.65

Q) Compound: ScTeBr2
Source: Alexandria via LeMat-Bulk
Functional: GGA-PBE
Structure: optimized geometry

Unit cell a=7.3643 b=7.3643 c=7.3643 alpha=90.00 beta=90.00 gamma=90.00
With the nearest neighbours (Å) after each atom.
Space group Fm-3m (No. 225)
Asymmetric unit:
Sc1 0.0000 0.0000 0.0000  8 Br 3.19
Te1 0.0000 0.0000 0.5000  8 Br 3.19
Br1 0.2500 0.2500 0.2500  4 Sc 3.19, 4 Te 3.19

Most stable structure - P); separation to the second - 593 meV per atom.

P) Compound: ScTeBr2
Source: Alexandria via LeMat-Bulk
Functional: GGA-PBE
Structure: optimized geometry

Unit cell a=3.8577 b=3.8577 c=8.1940 alpha=90.00 beta=90.00 gamma=90.00
With the nearest neighbours (Å) after each atom.
Space group P4mm (No. 99)
Asymmetric unit:
Sc1 0.0000 0.0000 0.0000  1 Br 2.84, 4 Te 2.94
Te1 0.5000 0.5000 0.1330  4 Sc 2.94, 5 Br 3.06-3.24
Br1 0.0000 0.0000 0.3468  1 Sc 2.84
Br2 0.5000 0.5000 0.7591  1 Te 3.06, 4 Sc 3.37

Q) Compound: ScTeBr2
Source: Alexandria via LeMat-Bulk
Functional: GGA-PBE
Structure: optimized geometry

Unit cell a=4.7127 b=4.7127 c=9.0853 alpha=90.00 beta=90.00 gamma=90.00
With the nearest neighbours (Å) after each atom.
Space group I-4m2 (No. 119)
Asymmetric unit:
Sc1 0.0000 0.0000 0.0000  8 Br 3.27-3.33, 4 Te 3.27
Te1 0.0000 0.5000 0.7500  8 Br 3.27-3.33, 4 Sc 3.27
Br1 0.0000 0.0000 0.5000  4 Br 3.27, 4 Te 3.27, 4 Sc 3.33
Br2 0.0000 0.5000 0.2500  4 Sc 3.27, 4 Br 3.27, 4 Te 3.33

Most stable structure - P); separation to the second - 300 meV per atom.

P) Compound: ScTeBr2
Source: Alexandria via LeMat-Bulk
Functional: GGA-PBE
Structure: optimized geometry

Unit cell a=3.6289 b=3.6289 c=39.6453 alpha=90.00 beta=90.00 gamma=120.00
With the nearest neighbours (Å) after each atom.
Space group R-3m (No. 166, hexagonal axes)
Asymmetric unit:
Sc1 0.0000 0.0000 0.0000  2 Br 2.42
Te1 0.0000 0.0000 0.5000  6 Te 3.63
Br1 0.0000 0.0000 0.0610  1 Sc 2.42

Q) Compound: ScTeBr2
Source: Alexandria via LeMat-Bulk
Functional: GGA-PBE
Structure: optimized geometry

Unit cell a=4.6306 b=4.6306 c=4.8777 alpha=90.00 beta=90.00 gamma=90.00
With the nearest neighbours (Å) after each atom.
Space group P4/mmm (No. 123)
Asymmetric unit:
Sc1 0.0000 0.0000 0.0000  4 Te 3.27, 8 Br 3.36
Te1 0.5000 0.5000 0.0000  4 Sc 3.27, 8 Br 3.36
Br1 0.0000 0.5000 0.5000  4 Br 3.27, 4 Te 3.36, 4 Sc 3.36

R) Compound: ScTeBr2
Source: Alexandria via LeMat-Bulk
Functional: GGA-PBE
Structure: optimized geometry

Unit cell a=3.5642 b=3.5642 c=33.9144 alpha=90.00 beta=90.00 gamma=120.00
With the nearest neighbours (Å) after each atom.
Space group R-3m (No. 166, hexagonal axes)
Asymmetric unit:
Sc1 0.0000 0.0000 0.0000  6 Br 2.69
Te1 0.0000 0.0000 0.5000  6 Te 3.56, 2 Br 3.92
Br1 0.0000 0.0000 0.3844  3 Sc 2.69

S) Compound: ScTeBr2
Source: Alexandria via LeMat-Bulk
Functional: GGA-PBE
Structure: optimized geometry

Unit cell a=4.6268 b=3.8006 c=8.0182 alpha=90.00 beta=106.63 gamma=90.00
With the nearest neighbours (Å) after each atom.
Space group Pm (No. 6)
Asymmetric unit:
Sc1 0.0000 0.0000 0.0000  3 Br 2.56-2.75
Te1 0.4605 0.5000 0.9208  4 Sc 3.05-3.06
Br1 0.1276 0.5000 0.2589  2 Sc 2.75
Br2 0.8354 0.0000 0.6662  1 Sc 2.56

Most stable structure - S); separation to the second - 65 meV per atom.

P) Compound: ScTi2Br2
Source: Alexandria via LeMat-Bulk
Functional: GGA-PBE
Structure: optimized geometry

Unit cell a=7.8200 b=7.8200 c=3.1703 alpha=90.00 beta=90.00 gamma=90.00
With the nearest neighbours (Å) after each atom.
Space group P4/mbm (No. 127)
Asymmetric unit:
Sc1 0.0000 0.0000 0.0000  4 Ti 2.98, 2 Sc 3.17
Ti1 0.1500 0.3500 0.0000  6 Br 2.76-2.80, 2 Sc 2.98
Br1 0.1453 0.6453 0.5000  6 Ti 2.76-2.80

Q) Compound: ScTi2Br2
Source: Alexandria via LeMat-Bulk
Functional: GGA-PBE
Structure: optimized geometry

Unit cell a=4.8799 b=4.8799 c=8.6796 alpha=90.00 beta=90.00 gamma=90.00
With the nearest neighbours (Å) after each atom.
Space group I4/mmm (No. 139)
Asymmetric unit:
Sc1 0.0000 0.0000 0.0000  8 Br 3.27, 10 Ti 3.28-3.61
Ti1 0.0000 0.0000 0.3775  1 Ti 2.13
Br1 0.0000 0.5000 0.2500  4 Ti 2.68

Most stable structure - Q); separation to the second - 220 meV per atom.

P) Compound: ScTi3Br
Source: Alexandria via LeMat-Bulk
Functional: GGA-PBE
Structure: optimized geometry

Unit cell a=4.9186 b=4.9186 c=4.9186 alpha=90.00 beta=90.00 gamma=90.00
With the nearest neighbours (Å) after each atom.
Space group Pm-3m (No. 221)
Asymmetric unit:
Sc1 0.0000 0.0000 0.0000  6 Ti 2.46
Ti1 0.0000 0.0000 0.5000  2 Sc 2.46
Br1 0.5000 0.5000 0.5000  12 Ti 3.48

Q) Compound: ScTi3Br
Source: Alexandria via LeMat-Bulk
Functional: GGA-PBE
Structure: optimized geometry

Unit cell a=4.7109 b=4.7109 c=4.7109 alpha=90.00 beta=90.00 gamma=90.00
With the nearest neighbours (Å) after each atom.
Space group Pm-3m (No. 221)
Asymmetric unit:
Sc1 0.0000 0.0000 0.0000  12 Ti 3.33
Ti1 0.0000 0.5000 0.5000  2 Br 2.36
Br1 0.5000 0.5000 0.5000  6 Ti 2.36

Most stable structure - Q); separation to the second - 984 meV per atom.